Record 1
Material: BaZrW2
Method: DFT, PBE
State: optimized geometry

- Spin magnetization: 0.00 Bohr magnetons per cell
- Distance to the lowest polymorph of the same formula: 0.725 eV/atom
- Raw total energy: -0.574 Ry per atom
- Formation energy from the elements: 5.2 eV/f.u.

Cell: 6.0399 6.0399 2.8535 Å, 90.00 90.00 123.05°
Fractional positions:
Ba1 0.0000 0.0000 0.0000
Zr1 0.5000 0.5000 0.0000
W1 0.0000 0.5000 0.5000
W2 0.5000 0.0000 0.5000

***

Record 2
Material: Ba2ZrW
Method: DFT, PBE
State: optimized geometry

- Spin magnetization: 0.00 Bohr magnetons per cell
- Distance to the lowest polymorph of the same formula: 0.261 eV/atom
- Raw total energy: -0.401 Ry per atom
- Formation energy from the elements: 3.5 eV/f.u.

Cell: 7.0365 7.0365 7.0365 Å, 150.86 127.04 61.59°
Fractional positions:
Ba1 0.0000 0.0000 0.0000
Ba2 0.6954 0.1954 0.5000
Zr1 0.3987 0.3987 0.0000
W1 0.2416 0.7416 0.5000

***

Record 3
Material: BaZrW2
Method: DFT, PBE
State: optimized geometry

- Spin magnetization: 0.00 Bohr magnetons per cell
- Distance to the lowest polymorph of the same formula: 0.471 eV/atom
- Raw total energy: -0.592 Ry per atom
- Formation energy from the elements: 4.1 eV/f.u.

Cell: 2.8888 2.8888 10.6702 Å, 90.00 90.00 90.00°
Fractional positions:
Ba1 0.0000 0.0000 0.0000
Zr1 0.0000 0.0000 0.5000
W1 0.5000 0.5000 0.2817
W2 0.5000 0.5000 0.7183

***

Question: Which formula does entry 1 have?
Answer: BaZrW2